1.
The following is a DFT calculation (GGA-PBE) of a relaxed structure of ScCoReI2.

Unit cell a=5.318 b=4.485 c=5.318 alpha=90.00 beta=90.00 gamma=90.00
Element x y z (fractional)
I 0.500 0.000 0.000
I 0.000 0.000 0.500
Co 0.000 0.500 0.000
Re 0.000 0.000 0.000
Sc 0.500 0.500 0.500

Results
**Uncorrected formation energy**: 1.0202 eV per atom
**ρ**: 7.119 Mg/m³
**Magnetization**: 0.0 μB/cell
**E**: -23.885 eV per formula unit

=====

2.
The following is a DFT calculation (GGA-PBE) of a relaxed structure of CoReTc2I.

Unit cell a=4.382 b=4.732 c=4.382 alpha=90.00 beta=90.00 gamma=90.00
Element x y z (fractional)
I 0.000 0.500 0.000
Tc 0.500 0.000 0.000
Tc 0.000 0.000 0.500
Co 0.000 0.000 0.000
Re 0.500 0.500 0.500

Results
**Uncorrected formation energy**: 2.0077 eV per atom
**ρ**: 10.382 Mg/m³
**Magnetization**: 0.0 μB/cell
**E**: -31.797 eV per formula unit

=====

Please write out number 2 again, unchanged.
The following is a DFT calculation (GGA-PBE) of a relaxed structure of CoReTc2I.

Unit cell a=4.382 b=4.732 c=4.382 alpha=90.00 beta=90.00 gamma=90.00
Element x y z (fractional)
I 0.000 0.500 0.000
Tc 0.500 0.000 0.000
Tc 0.000 0.000 0.500
Co 0.000 0.000 0.000
Re 0.500 0.500 0.500

Results
**Uncorrected formation energy**: 2.0077 eV per atom
**ρ**: 10.382 Mg/m³
**Magnetization**: 0.0 μB/cell
**E**: -31.797 eV per formula unit